LiCaLa2Fe | GGA-PBE | relaxed

Properties
As for the calculated density: 4.04 Mg/m³. The polymorph energy (0 for the lowest one) is 0.000 eV/f.u. The formation energy is 0.51 eV/f.u.

Cell: 5.155 5.155 5.894 Å, 90.00 90.00 90.00°
Atoms (fractional coordinates):
Ca 0.000 0.000 0.500
Li 0.500 0.500 0.500
Fe 0.000 0.000 0.000
La 0.000 0.500 0.000
La 0.500 0.000 0.000

AlRh2Au | GGA-PBE | relaxed

Properties
As for the calculated density: 11.68 Mg/m³. The formation energy is -0.69 eV/f.u.

Cell: 8.814 8.814 8.814 Å, 18.64 18.64 18.64°
Atoms (fractional coordinates):
Au 0.754 0.754 0.754
Rh 0.996 0.996 0.996
Rh 0.245 0.245 0.245
Al 0.505 0.505 0.505